NaHfVO5 | PBE+U | relaxed

## Properties
* total energy: -255.6 eV for the cell shown

Lattice parameters (Å, degrees): 7.4659 9.0541 7.6660 90.00 115.35 90.00
With the nearest neighbours (Å) after each atom.
Space group C2/c (No. 15)
One atom of each set of equivalent atoms:
Na 0.0000 0.1824 0.2500 [4 per cell]  3 O 2.27-2.50
Hf 0.0000 0.5000 0.0000 [4 per cell]  6 O 2.01-2.14
V 0.0000 0.1657 0.7500 [4 per cell]  4 O 1.74-1.75
O 0.0000 0.4331 0.2500 [4 per cell]  2 Hf 2.01
O 0.0664 0.2781 0.6016 [8 per cell]  1 V 1.75
O 0.1930 0.0483 0.8881 [8 per cell]  1 V 1.74